TiNiSbTe2 | Alexandria via LeMat-Bulk | PBE | relaxed; ΔE_f (raw) = 0.4377 eV/atom; D(E_F) = 6.9 states/eV/cell; energy above the lowest structure with this stoichiometry = 0 meV per atom
1.0
5.1106 0.0000 0.0000
0.0000 5.1106 0.0000
0.0000 0.0000 4.7909
Ti Ni Sb Te
1 1 1 2
Direct
0.0000 0.0000 0.0000 Ti
0.5000 0.5000 0.5000 Ni
0.5000 0.5000 0.0000 Sb
0.0000 0.5000 0.5000 Te
0.5000 0.0000 0.5000 Te